Record 1
The following is a DFT calculation (GGA-PBE) of crystalline Sr2AgSb2 at its relaxed geometry.

Properties
uncorrected formation energy	-0.375	eV per atom
energy relative to the lowest polymorph listed for this composition	380	meV/atom

a b c (Å): 9.596 9.596 3.630
angles (deg): 90.00 90.00 90.00
Element x y z (fractional)
1 Sb 0.165 0.665 0.500
2 Sb 0.665 0.835 0.500
3 Sb 0.835 0.335 0.500
4 Sb 0.335 0.165 0.500
5 Ag 0.000 0.000 0.000
6 Ag 0.500 0.500 0.000
7 Sr 0.363 0.863 0.000
8 Sr 0.863 0.637 0.000
9 Sr 0.637 0.137 0.000
10 Sr 0.137 0.363 0.000

Record 2
The following is a DFT calculation (GGA-PBE) of crystalline Pr2DyPt at its relaxed geometry.

Properties
energy relative to the lowest polymorph listed for this composition	184	meV/atom
energy of formation	-0.4479	eV/atom

a b c (Å): 3.724 3.724 8.453
angles (deg): 90.00 90.00 90.00
Element x y z (fractional)
1 Pr 0.000 0.000 0.798
2 Pr 0.000 0.000 0.202
3 Pt 0.500 0.500 0.000
4 Dy 0.500 0.500 0.500

Record 3
The following is a DFT calculation (GGA-PBE) of crystalline NaEuDyIn at its relaxed geometry.

Properties
energy of formation	-0.1243	eV/atom

a b c (Å): 5.547 5.547 5.547
angles (deg): 60.00 60.00 60.00
Each line ends with the local moment (μB).
Element x y z (fractional)
1 Eu 0.500 0.500 0.500  6.88
2 Na 0.250 0.250 0.250  0.01
3 In 0.750 0.750 0.750  -0.03
4 Dy 0.000 0.000 0.000  0.08

Please write out number 2 again, unchanged.
The following is a DFT calculation (GGA-PBE) of crystalline Pr2DyPt at its relaxed geometry.

Properties
energy relative to the lowest polymorph listed for this composition	184	meV/atom
energy of formation	-0.4479	eV/atom

a b c (Å): 3.724 3.724 8.453
angles (deg): 90.00 90.00 90.00
Element x y z (fractional)
1 Pr 0.000 0.000 0.798
2 Pr 0.000 0.000 0.202
3 Pt 0.500 0.500 0.000
4 Dy 0.500 0.500 0.500